Below is BeZnOs2 at its PBEsol-relaxed geometry, with properties calculated at the SCAN level.

```
BeZnOs2
1.0
-1.888 -1.195 -1.705
0.233 -2.409 1.430
-4.558 1.805 3.784
Zn Os Be
1 2 1
direct
0.000 0.000 0.532
0.500 0.500 0.246
0.000 0.000 0.972
0.500 0.500 0.750
```

Properties
- Calculated formation energy: -0.124 eV/atom